The following is a DFT calculation (PBE-GGA) of a geometry-optimized Ce2PaPd structure.

## Properties
For the energy above the most stable polymorph in this dataset, the calculation gives 0 meV per atom. The space group is No. 123. Its formation energy is -100 kJ/mol of formula units.

Geometry as extended XYZ:
```
4
Lattice="3.450 0.000 0.000 0.000 3.450 0.000 0.000 0.000 8.114" Properties=species:S:1:pos:R:3 pbc="T T T"
Pa 1.725 1.725 4.057
Pd 1.725 1.725 0.000
Ce 0.000 0.000 6.246
Ce 0.000 0.000 1.868
```